1.
First-principles (PBE) data for an optimized crystal structure of RbErGe2Br8, as listed in the Alexandria database.

POSCAR file:
```
RbErGe2Br8
1.0
6.682 0.000 0.000
-0.837 7.358 0.000
-0.395 -0.434 9.787
Rb Er Ge Br
1 1 2 8
Direct
0.000 0.000 0.000
0.000 0.000 0.500
0.444 0.568 0.292
0.556 0.432 0.708
0.217 0.693 0.474
0.222 0.184 0.309
0.263 0.629 0.081
0.276 0.128 0.716
0.724 0.872 0.284
0.737 0.371 0.919
0.778 0.816 0.691
0.783 0.307 0.526
```

Properties
Uncorrected energy in eV per atom: -3.51
Raw formation energy in meV per atom: -1164.4
Density of states at the Fermi level in states/eV per cell: 0.00
Crystal system: triclinic

2.
First-principles (PBE) data for an optimized crystal structure of Sm2ErHf, as listed in the Alexandria database.

POSCAR file:
```
Sm2ErHf
1.0
4.907 0.000 0.000
0.000 4.907 0.000
0.000 0.000 4.840
Sm Er Hf
2 1 1
Direct
0.000 0.500 0.000
0.500 0.000 0.000
0.000 0.000 0.500
0.500 0.500 0.500
```

Properties
Uncorrected energy in eV per atom: -5.83
Density of states at the Fermi level in states/eV per cell: 4.95
Polymorph energy (0 for the lowest one) in eV per atom: 0.012
Crystal system: tetragonal
ΔE_f in eV per atom: 0.159

3.
First-principles (PBE) data for an optimized crystal structure of Pr2ICl, as listed in the Alexandria database.

POSCAR file:
```
Pr2ICl
1.0
1.893 1.093 9.422
-1.893 1.093 9.422
0.000 -2.186 9.422
Pr I Cl
2 1 1
Direct
0.000 0.000 0.000
0.154 0.154 0.154
0.577 0.577 0.577
0.410 0.410 0.410
```

Properties
Uncorrected energy in eV per atom: -4.35
Raw formation energy in meV per atom: -1110.0
Density of states at the Fermi level in states/eV per cell: 1.92
Polymorph energy (0 for the lowest one) in eV per atom: 0.004
Crystal system: trigonal

4.
First-principles (PBE) data for an optimized crystal structure of Pm3Cd3Hg2, as listed in the Alexandria database.

POSCAR file:
```
Pm3Cd3Hg2
1.0
9.355 -2.323 0.000
9.355 2.323 0.000
-1.338 0.000 4.838
Pm Cd Hg
3 3 2
Direct
0.000 0.000 0.000
0.138 0.138 0.638
0.862 0.862 0.362
0.369 0.369 0.868
0.500 0.500 0.500
0.631 0.631 0.132
0.244 0.244 0.244
0.756 0.756 0.756
```

Properties
Uncorrected energy in eV per atom: -2.53
Density of states at the Fermi level in states/eV per cell: 6.55
Polymorph energy (0 for the lowest one) in eV per atom: 0.015
Crystal system: monoclinic
ΔE_f in eV per atom: -0.332

5.
First-principles (PBE) data for an optimized crystal structure of SmDy3Os, as listed in the Alexandria database.

POSCAR file:
```
SmDy3Os
1.0
4.904 0.000 0.000
0.000 9.715 0.000
-2.447 0.000 6.097
Sm Dy Os
2 6 2
Direct
0.139 0.250 0.276
0.861 0.750 0.724
0.134 0.750 0.267
0.366 0.000 0.734
0.366 0.500 0.734
0.634 0.000 0.266
0.634 0.500 0.266
0.866 0.250 0.733
0.498 0.250 0.996
0.502 0.750 0.004
```

Properties
Uncorrected energy in eV per atom: -6.03
Density of states at the Fermi level in states/eV per cell: 9.33
Polymorph energy (0 for the lowest one) in eV per atom: 0.013
Crystal system: monoclinic
ΔE_f in eV per atom: -0.076

6.
First-principles (PBE) data for an optimized crystal structure of CrCdCo2, as listed in the Alexandria database.

POSCAR file:
```
CrCdCo2
1.0
2.827 0.000 0.000
0.000 2.827 0.000
0.000 0.000 6.589
Cr Cd Co
1 1 2
Direct
0.000 0.000 0.000
0.000 0.000 0.500
0.500 0.500 0.204
0.500 0.500 0.796
```

Properties
Uncorrected energy in eV per atom: -5.97
Density of states at the Fermi level in states/eV per cell: 3.87
Crystal system: tetragonal
ΔE_f in eV per atom: 0.213

7.
First-principles (PBE) data for an optimized crystal structure of Tb8Pm2Ho3, as listed in the Alexandria database.

POSCAR file:
```
Tb8Pm2Ho3
1.0
11.729 0.000 0.000
0.000 20.722 0.000
0.000 0.000 3.510
Tb Pm Ho
16 4 6
Direct
0.046 0.072 0.000
0.052 0.342 0.500
0.127 0.785 0.000
0.209 0.946 0.500
0.291 0.446 0.500
0.373 0.285 0.000
0.448 0.842 0.500
0.454 0.572 0.000
0.546 0.428 0.000
0.552 0.158 0.500
0.627 0.715 0.000
0.709 0.554 0.500
0.791 0.054 0.500
0.873 0.215 0.000
0.948 0.658 0.500
0.954 0.928 0.000
0.180 0.599 0.000
0.320 0.099 0.000
0.680 0.901 0.000
0.820 0.401 0.000
0.000 0.500 0.500
0.145 0.201 0.500
0.355 0.701 0.500
0.500 0.000 0.500
0.645 0.299 0.500
0.855 0.799 0.500
```

Properties
Uncorrected energy in eV per atom: -4.49
Density of states at the Fermi level in states/eV per cell: 39.01
Crystal system: orthorhombic
ΔE_f in eV per atom: 0.150

8.
First-principles (PBE) data for an optimized crystal structure of YVCr2Hg, as listed in the Alexandria database.

POSCAR file:
```
YVCr2Hg
1.0
4.456 0.000 0.000
0.000 4.456 0.000
0.000 0.000 5.194
Y V Cr Hg
1 1 2 1
Direct
0.000 0.000 0.000
0.500 0.500 0.500
0.000 0.500 0.500
0.500 0.000 0.500
0.500 0.500 0.000
```

Properties
Uncorrected energy in eV per atom: -6.42
Density of states at the Fermi level in states/eV per cell: 3.90
Crystal system: tetragonal
ΔE_f in eV per atom: 0.603

9.
First-principles (PBE) data for an optimized crystal structure of Tb2Ga3Cu, as listed in the Alexandria database.

POSCAR file:
```
Tb2Ga3Cu
1.0
0.000 4.365 7.568
3.674 0.000 7.568
3.674 4.365 0.000
Tb Ga Cu
4 6 2
Direct
0.245 0.755 0.755
0.250 0.250 0.250
0.750 0.750 0.750
0.755 0.245 0.245
0.162 0.668 0.332
0.331 0.331 0.669
0.332 0.838 0.162
0.668 0.162 0.838
0.669 0.669 0.331
0.838 0.332 0.668
0.168 0.168 0.832
0.832 0.832 0.168
```

Properties
Uncorrected energy in eV per atom: -4.34
Density of states at the Fermi level in states/eV per cell: 6.92
Polymorph energy (0 for the lowest one) in eV per atom: 0.000
Crystal system: orthorhombic
ΔE_f in eV per atom: -0.599

10.
First-principles (PBE) data for an optimized crystal structure of CeSm3Y6Tm2, as listed in the Alexandria database.

POSCAR file:
```
CeSm3Y6Tm2
1.0
3.096 -5.360 0.000
3.096 5.360 0.000
-2.060 0.000 11.646
Ce Sm Y Tm
1 3 6 2
Direct
0.000 0.000 0.000
0.168 0.832 0.500
0.500 0.500 0.500
0.832 0.168 0.500
0.083 0.414 0.247
0.249 0.249 0.753
0.414 0.083 0.247
0.586 0.917 0.753
0.751 0.751 0.247
0.917 0.586 0.753
0.333 0.667 0.000
0.667 0.333 0.000
```

Properties
Uncorrected energy in eV per atom: -5.61
Density of states at the Fermi level in states/eV per cell: 19.32
Crystal system: monoclinic
ΔE_f in eV per atom: 0.037

11.
First-principles (PBE) data for an optimized crystal structure of CoSbAs2, as listed in the Alexandria database.

POSCAR file:
```
CoSbAs2
1.0
3.887 0.000 0.000
0.000 3.887 0.000
0.000 0.000 4.963
Co Sb As
1 1 2
Direct
0.000 0.000 0.000
0.500 0.500 0.000
0.000 0.500 0.500
0.500 0.000 0.500
```

Properties
Uncorrected energy in eV per atom: -4.62
Raw formation energy in meV per atom: 516.2
Density of states at the Fermi level in states/eV per cell: 3.04
Crystal system: tetragonal

12.
First-principles (PBE) data for an optimized crystal structure of Hg3As2, as listed in the Alexandria database.

POSCAR file:
```
Hg3As2
1.0
4.345 0.000 0.000
-2.172 3.763 0.000
0.000 0.000 7.550
Hg As
3 2
Direct
0.000 0.000 0.000
0.333 0.667 0.375
0.667 0.333 0.625
0.333 0.667 0.788
0.667 0.333 0.212
```

Properties
Uncorrected energy in eV per atom: -1.82
Density of states at the Fermi level in states/eV per cell: 2.44
Polymorph energy (0 for the lowest one) in eV per atom: 0.111
Crystal system: trigonal
ΔE_f in eV per atom: 0.223

13.
First-principles (PBE) data for an optimized crystal structure of NbSCl2F, as listed in the Alexandria database.

POSCAR file:
```
NbSCl2F
1.0
4.864 0.000 0.000
0.000 4.864 0.000
0.000 0.000 4.153
Nb S Cl F
1 1 2 1
Direct
0.000 0.000 0.000
0.500 0.500 0.500
0.000 0.500 0.000
0.500 0.000 0.000
0.000 0.000 0.500
```

Properties
Uncorrected energy in eV per atom: -4.51
Raw formation energy in meV per atom: -556.9
Density of states at the Fermi level in states/eV per cell: 8.32
Polymorph energy (0 for the lowest one) in eV per atom: 0.159
Crystal system: tetragonal

14.
First-principles (PBE) data for an optimized crystal structure of Na2LiScF6, as listed in the Alexandria database.

POSCAR file:
```
Na2LiScF6
1.0
0.000 4.014 4.014
4.014 0.000 4.014
4.014 4.014 0.000
Na Li Sc F
2 1 1 6
Direct
0.250 0.250 0.250
0.750 0.750 0.750
0.000 0.000 0.000
0.500 0.500 0.500
0.250 0.250 0.750
0.250 0.750 0.250
0.250 0.750 0.750
0.750 0.250 0.250
0.750 0.250 0.750
0.750 0.750 0.250
```

Properties
Uncorrected energy in eV per atom: -5.45
Raw formation energy in meV per atom: -3234.3
Density of states at the Fermi level in states/eV per cell: 0.00
Polymorph energy (0 for the lowest one) in eV per atom: 0.058
Crystal system: cubic

15.
First-principles (PBE) data for an optimized crystal structure of Zn2HgPb, as listed in the Alexandria database.

POSCAR file:
```
Zn2HgPb
1.0
1.790 1.034 8.355
-1.790 1.034 8.355
0.000 -2.067 8.355
Zn Hg Pb
2 1 1
Direct
0.000 0.000 0.000
0.180 0.180 0.180
0.590 0.590 0.590
0.756 0.756 0.756
```

Properties
Uncorrected energy in eV per atom: -1.49
Density of states at the Fermi level in states/eV per cell: 1.02
Polymorph energy (0 for the lowest one) in eV per atom: 0.045
Crystal system: trigonal
ΔE_f in eV per atom: 0.153

16.
First-principles (PBE) data for an optimized crystal structure of LaAlH8Ru2, as listed in the Alexandria database.

POSCAR file:
```
LaAlH8Ru2
1.0
2.304 1.330 5.643
-2.304 1.330 5.643
0.000 -2.661 5.643
La Al H Ru
1 1 8 2
Direct
0.000 0.000 0.000
0.500 0.500 0.500
0.123 0.556 0.556
0.310 0.310 0.310
0.444 0.444 0.877
0.444 0.877 0.444
0.556 0.123 0.556
0.556 0.556 0.123
0.690 0.690 0.690
0.877 0.444 0.444
0.216 0.216 0.216
0.784 0.784 0.784
```

Properties
Uncorrected energy in eV per atom: -4.76
Density of states at the Fermi level in states/eV per cell: 0.27
Crystal system: trigonal

17.
First-principles (PBE) data for an optimized crystal structure of AcPm3Pb5, as listed in the Alexandria database.

POSCAR file:
```
AcPm3Pb5
1.0
9.873 0.000 0.000
-4.937 8.551 0.000
0.000 0.000 6.757
Ac Pm Pb
2 6 10
Direct
0.000 0.000 0.000
0.000 0.000 0.500
0.000 0.376 0.250
0.000 0.624 0.750
0.376 0.000 0.250
0.376 0.376 0.750
0.624 0.000 0.750
0.624 0.624 0.250
0.000 0.305 0.750
0.000 0.695 0.250
0.305 0.000 0.750
0.305 0.305 0.250
0.333 0.667 0.000
0.333 0.667 0.500
0.667 0.333 0.000
0.667 0.333 0.500
0.695 0.000 0.250
0.695 0.695 0.750
```

Properties
Uncorrected energy in eV per atom: -4.51
Density of states at the Fermi level in states/eV per cell: 17.75
Crystal system: hexagonal
ΔE_f in eV per atom: -0.407

18.
First-principles (PBE) data for an optimized crystal structure of KAlZn2, as listed in the Alexandria database.

POSCAR file:
```
KAlZn2
1.0
3.390 0.000 0.000
-1.651 4.317 0.000
-0.129 -1.316 6.903
K Al Zn
1 1 2
Direct
0.000 0.000 0.000
0.223 0.441 0.629
0.493 0.987 0.496
0.770 0.548 0.351
```

Properties
Uncorrected energy in eV per atom: -1.68
Density of states at the Fermi level in states/eV per cell: 1.34
Crystal system: triclinic
ΔE_f in eV per atom: 0.170

19.
First-principles (PBE) data for an optimized crystal structure of BaNiS, as listed in the Alexandria database.

POSCAR file:
```
BaNiS
1.0
4.251 0.000 0.000
0.811 5.835 0.000
1.655 0.420 6.200
Ba Ni S
2 2 2
Direct
0.000 0.000 0.000
0.278 0.436 0.478
0.396 0.923 0.461
0.642 0.698 0.743
0.432 0.434 0.966
0.867 0.966 0.517
```

Properties
Uncorrected energy in eV per atom: -4.89
Raw formation energy in meV per atom: -948.5
Density of states at the Fermi level in states/eV per cell: 0.00
Crystal system: triclinic

20.
First-principles (PBE) data for an optimized crystal structure of LaHf2NbPt, as listed in the Alexandria database.

POSCAR file:
```
LaHf2NbPt
1.0
5.116 0.000 0.000
0.000 5.116 0.000
0.000 0.000 4.918
La Hf Nb Pt
1 2 1 1
Direct
0.000 0.000 0.000
0.000 0.500 0.000
0.500 0.000 0.000
0.500 0.500 0.500
0.000 0.000 0.500
```

Properties
Uncorrected energy in eV per atom: -6.57
Density of states at the Fermi level in states/eV per cell: 6.63
Crystal system: tetragonal
ΔE_f in eV per atom: 1.623

21.
First-principles (PBE) data for an optimized crystal structure of Na4GaSn2, as listed in the Alexandria database.

POSCAR file:
```
Na4GaSn2
1.0
-2.841 2.841 7.545
2.841 -2.841 7.545
2.841 2.841 -7.545
Na Ga Sn
4 1 2
Direct
0.000 0.500 0.500
0.197 0.197 0.000
0.500 0.000 0.500
0.803 0.803 0.000
0.000 0.000 0.000
0.404 0.404 0.000
0.596 0.596 0.000
```

Properties
Uncorrected energy in eV per atom: -2.22
Density of states at the Fermi level in states/eV per cell: 3.34
Crystal system: tetragonal
ΔE_f in eV per atom: 0.105

22.
First-principles (PBE) data for an optimized crystal structure of K3Sc3GaS8, as listed in the Alexandria database.

POSCAR file:
```
K3Sc3GaS8
1.0
6.469 -3.729 0.000
6.469 3.729 0.000
-4.318 0.000 7.534
K Sc Ga S
3 3 1 8
Direct
0.000 0.000 0.000
0.000 0.500 0.000
0.500 0.000 0.000
0.000 0.500 0.500
0.500 0.000 0.500
0.500 0.500 0.500
0.000 0.000 0.500
0.225 0.736 0.687
0.226 0.226 0.687
0.264 0.775 0.313
0.269 0.269 0.307
0.731 0.731 0.693
0.736 0.225 0.687
0.774 0.774 0.313
0.775 0.264 0.313
```

Properties
Uncorrected energy in eV per atom: -5.31
Raw formation energy in meV per atom: -1425.0
Density of states at the Fermi level in states/eV per cell: 7.69
Crystal system: monoclinic

23.
First-principles (PBE) data for an optimized crystal structure of KLa2NbO6, as listed in the Alexandria database.

POSCAR file:
```
KLa2NbO6
1.0
6.420 -2.911 0.000
6.420 2.911 0.000
-2.483 0.000 8.648
K La Nb O
2 4 2 12
Direct
0.116 0.116 0.481
0.884 0.884 0.519
0.130 0.130 0.929
0.412 0.412 0.795
0.588 0.588 0.205
0.870 0.870 0.071
0.341 0.341 0.296
0.659 0.659 0.704
0.004 0.468 0.167
0.220 0.683 0.291
0.252 0.748 0.000
0.317 0.780 0.709
0.324 0.324 0.495
0.468 0.004 0.167
0.532 0.996 0.833
0.676 0.676 0.505
0.683 0.220 0.291
0.748 0.252 0.000
0.780 0.317 0.709
0.996 0.532 0.833
```

Properties
Uncorrected energy in eV per atom: -8.09
Raw formation energy in meV per atom: -3014.2
Density of states at the Fermi level in states/eV per cell: 0.00
Polymorph energy (0 for the lowest one) in eV per atom: 0.000
Crystal system: monoclinic